First-principles (PBE-GGA) data for a relaxed CaPaZnIr crystal, as listed in Alexandria.

Lattice parameters (Å, degrees): 6.978 6.978 6.978 90.00 90.00 90.00
Space group F-43m (No. 216)
Unique sites:
Ca  0.000  0.000  0.000 x4
Pa  0.000  0.000  0.500 x4
Zn  0.250  0.250  0.750 x4
Ir  0.250  0.250  0.250 x4

Output
The total magnetization is 0.004 μB/f.u. Its formation energy is -248 meV per atom. The density of states at the Fermi level is 21.2 states/eV per cell. The calculation puts the energy at -5.656 eV/atom.

First-principles (PBE-GGA) data for a relaxed LiTe2Se crystal, as listed in Alexandria.

Lattice parameters (Å, degrees): 7.501 7.625 3.348 90.00 90.00 90.00
Space group Cmmm (No. 65)
Unique sites:
Li  0.000  0.000  0.000 x2
Te  0.250  0.250  0.500 x4
Se  0.000  0.500  0.000 x2

Output
The total magnetization is 0.000 μB/f.u. The calculation puts the uncorrected formation energy at -0.082 eV per atom. The density of states at the Fermi level is 5.3 states/eV per cell. The calculation puts the energy at -3.002 eV/atom.

First-principles (PBE-GGA) data for a relaxed CrPRh2 crystal, as listed in Alexandria.

Lattice parameters (Å, degrees): 5.185 5.185 11.047 90.00 90.00 90.00
Space group I-42d (No. 122)
Unique sites:
Cr  0.000  0.000  0.000 x4
P  0.000  0.000  0.500 x4
Rh  0.234  0.250  0.625 x8

Output
The total magnetization is 1.654 μB/f.u. Its formation energy is 257 meV per atom. The density of states at the Fermi level is 14.5 states/eV per cell. The calculation puts the energy at -7.177 eV/atom.

First-principles (PBE-GGA) data for a relaxed TbCe2TmBi4 crystal, as listed in Alexandria.

Lattice parameters (Å, degrees): 7.843 4.536 7.858 90.00 109.51 90.00
Space group P2/m (No. 10)
Unique sites:
Tb  0.000  0.000  0.000 x1
Ce  0.500  0.000  0.500 x1
Ce  0.500  0.500  0.000 x1
Tm  0.000  0.500  0.500 x1
Bi  0.241  0.000  0.745 x2
Bi  0.243  0.500  0.250 x2

Output
The total magnetization is 1.719 μB/f.u. Its formation energy is -811 meV per atom. The density of states at the Fermi level is 13.9 states/eV per cell. The calculation puts the energy at -5.373 eV/atom.

First-principles (PBE-GGA) data for a relaxed HgGeSbAu3 crystal, as listed in Alexandria.

Lattice parameters (Å, degrees): 8.187 3.734 8.589 90.00 91.62 90.00
Space group P2_1/m (No. 11)
Unique sites:
Hg  0.174  0.250  0.223 x2
Ge  0.342  0.750  0.914 x2
Sb  0.148  0.250  0.573 x2
Au  0.095  0.250  0.895 x2
Au  0.389  0.750  0.556 x2
Au  0.453  0.750  0.209 x2

Output
The total magnetization is 0.000 μB/f.u. The calculation puts the uncorrected formation energy at 0.025 eV per atom. The density of states at the Fermi level is 3.5 states/eV per cell. The calculation puts the energy at -3.120 eV/atom.

First-principles (PBE-GGA) data for a relaxed RbSeBr3 crystal, as listed in Alexandria.

Lattice parameters (Å, degrees): 9.474 7.527 12.712 90.00 117.38 90.00
Space group P2_1/c (No. 14)
Unique sites:
Rb  0.124  0.229  0.161 x4
Se  0.422  0.721  0.359 x4
Br  0.119  0.732  0.190 x4
Br  0.298  0.194  0.970 x4
Br  0.498  0.035  0.741 x4

Output
The total magnetization is 0.000 μB/f.u. The calculation puts the uncorrected formation energy at -0.751 eV per atom. The density of states at the Fermi level is 0.0 states/eV per cell. The calculation puts the energy at -2.645 eV/atom.

First-principles (PBE-GGA) data for a relaxed Pu2CuSb crystal, as listed in Alexandria.

Lattice parameters (Å, degrees): 4.617 4.617 4.368 90.00 90.00 90.00
Space group P4/mmm (No. 123)
Unique sites:
Pu  0.000  0.500  0.000 x2
Cu  0.000  0.000  0.500 x1
Sb  0.500  0.500  0.500 x1

Output
The total magnetization is 11.746 μB/f.u. The calculation puts the uncorrected formation energy at -0.250 eV per atom. The density of states at the Fermi level is 12.5 states/eV per cell. The calculation puts the energy at -9.471 eV/atom.

First-principles (PBE-GGA) data for a relaxed K11ClO5 crystal, as listed in Alexandria.

Lattice parameters (Å, degrees): 10.256 12.619 7.431 90.00 110.23 90.00
Space group C2/m (No. 12)
Unique sites:
K  0.000  0.000  0.000 x2
K  0.086  0.224  0.833 x8
K  0.173  0.500  0.829 x4
K  0.205  0.370  0.453 x8
Cl  0.000  0.000  0.500 x2
O  0.000  0.500  0.500 x2
O  0.184  0.183  0.197 x8

Output
The total magnetization is 0.311 μB/f.u. The calculation puts the uncorrected formation energy at -1.053 eV per atom. The calculation puts the energy at -3.330 eV/atom.